No. 1
The following is a DFT calculation (PBE) of Sc3CdRh after structural relaxation.

Computed properties:
E above lowest polymorph: 1.290 eV/atom
ΔE_f: 18.34 kcal/mol of atoms
space group: Pm-3m (221)

a = 5.138 Å, b = 5.138 Å, c = 5.138 Å
α = 90.00°, β = 90.00°, γ = 90.00°
Element x y z (fractional)
Cd 0.000 0.000 0.000
Sc 0.000 0.000 0.500
Sc 0.000 0.500 0.000
Sc 0.500 0.000 0.000
Rh 0.500 0.500 0.500

***

No. 2
The following is a DFT calculation (PBE) of ErMg3Pd after structural relaxation.

Computed properties:
E above lowest polymorph: 0.000 eV/atom
ΔE_f: -9.22 kcal/mol of atoms
space group: P2_1/m (11)

a = 5.394 Å, b = 5.807 Å, c = 7.813 Å
α = 90.00°, β = 114.55°, γ = 90.00°
Element x y z (fractional)
Er 0.730 0.948 0.884
Er 0.305 0.448 0.677
Mg 0.707 0.697 0.486
Mg 0.327 0.699 0.075
Mg 0.327 0.197 0.075
Mg 0.707 0.199 0.486
Mg 0.136 0.948 0.378
Mg 0.898 0.448 0.182
Pd 0.153 0.948 0.742
Pd 0.881 0.448 0.818

***

No. 3
The following is a DFT calculation (PBE) of Ba2ScZn2 after structural relaxation.

Computed properties:
E above lowest polymorph: 0.209 eV/atom
ΔE_f: 5.55 kcal/mol of atoms
space group: I4/mmm (139)

a = 3.924 Å, b = 3.924 Å, c = 11.466 Å
α = 80.15°, β = 80.15°, γ = 90.00°
Element x y z (fractional)
Ba 0.622 0.622 0.757
Ba 0.378 0.378 0.243
Zn 0.750 0.250 0.500
Zn 0.250 0.750 0.500
Sc 0.000 0.000 0.000

***

No. 4
The following is a DFT calculation (PBE) of BaNaP2Cl after structural relaxation.

Computed properties:
E above lowest polymorph: 0.000 eV/atom
ΔE_f (raw): -211.9 meV per atom
space group: P4/mmm (123)

a = 4.986 Å, b = 4.986 Å, c = 5.517 Å
α = 90.00°, β = 90.00°, γ = 90.00°
Element x y z (fractional)
Cl 0.000 0.000 0.500
P 0.500 0.000 0.000
P 0.000 0.500 0.000
Na 0.000 0.000 0.000
Ba 0.500 0.500 0.500

***

No. 5
The following is a DFT calculation (PBE) of Re3Se after structural relaxation.

Computed properties:
E above lowest polymorph: 0.636 eV/atom
ΔE_f (raw): 942.2 meV per atom
space group: P6_3/mmc (194)

a = 5.816 Å, b = 5.816 Å, c = 8.533 Å
α = 90.00°, β = 90.00°, γ = 120.00°
Element x y z (fractional)
Re 0.500 0.500 0.000
Re 0.500 0.000 0.500
Re 0.340 0.170 0.250
Re 0.000 0.500 0.500
Re 0.830 0.170 0.250
Re 0.500 0.000 0.000
Re 0.660 0.830 0.750
Re 0.170 0.340 0.750
Re 0.000 0.500 0.000
Re 0.500 0.500 0.500
Re 0.170 0.830 0.750
Re 0.830 0.660 0.250
Se 0.000 0.000 0.000
Se 0.333 0.667 0.250
Se 0.667 0.333 0.750
Se 0.000 0.000 0.500

***

No. 6
The following is a DFT calculation (PBE) of Y3MnCo8 after structural relaxation.

Computed properties:
ΔE_f: -2.93 kcal/mol of atoms
space group: R3m (160)

a = 4.999 Å, b = 4.999 Å, c = 8.677 Å
α = 73.26°, β = 73.26°, γ = 60.00°
Element x y z (fractional)
Mn 0.873 0.873 0.381
Co 0.938 0.938 0.680
Co 0.436 0.436 0.193
Co 0.935 0.436 0.193
Co 0.436 0.935 0.193
Co 0.188 0.188 0.435
Co 0.938 0.445 0.680
Co 0.688 0.688 0.937
Co 0.445 0.938 0.680
Y 0.504 0.504 0.488
Y 0.376 0.376 0.872
Y 0.994 0.994 0.017

***

No. 7
The following is a DFT calculation (PBE) of SmMgRu after structural relaxation.

Computed properties:
ΔE_f: -3.04 kcal/mol of atoms
space group: Cmce (64)

a = 6.027 Å, b = 6.814 Å, c = 7.380 Å
α = 90.00°, β = 90.00°, γ = 116.25°
Element x y z (fractional)
Ru 0.605 0.209 0.547
Ru 0.395 0.791 0.453
Ru 0.895 0.791 0.047
Ru 0.105 0.209 0.953
Sm 0.195 0.391 0.607
Sm 0.305 0.609 0.107
Sm 0.695 0.391 0.893
Sm 0.805 0.609 0.393
Mg 0.797 0.093 0.250
Mg 0.703 0.907 0.750
Mg 0.297 0.093 0.250
Mg 0.203 0.907 0.750

***

No. 8
The following is a DFT calculation (PBE) of Pm2TmZn3Pt4 after structural relaxation.

Computed properties:
ΔE_f: -19.56 kcal/mol of atoms
space group: P-4m2 (115)

a = 4.156 Å, b = 4.156 Å, c = 11.696 Å
α = 90.00°, β = 90.00°, γ = 90.00°
Element x y z (fractional)
Pt 0.500 0.000 0.657
Pt 0.500 0.500 0.000
Pt 0.000 0.500 0.343
Pt 0.000 0.000 0.000
Zn 0.500 0.000 0.873
Zn 0.000 0.000 0.500
Zn 0.000 0.500 0.127
Pm 0.000 0.500 0.775
Pm 0.500 0.000 0.225
Tm 0.500 0.500 0.500

***

No. 9
The following is a DFT calculation (PBE) of Pr4Nd2Sm3 after structural relaxation.

Computed properties:
E above lowest polymorph: 0.045 eV/atom
ΔE_f: 1.38 kcal/mol of atoms
space group: P3m1 (156)

a = 3.674 Å, b = 3.674 Å, c = 27.479 Å
α = 90.00°, β = 90.00°, γ = 120.00°
Element x y z (fractional)
Pr 0.000 0.000 0.544
Pr 0.667 0.333 0.216
Pr 0.667 0.333 0.433
Pr 0.000 0.000 0.763
Nd 0.667 0.333 0.873
Nd 0.667 0.333 0.088
Sm 0.667 0.333 0.654
Sm 0.000 0.000 0.983
Sm 0.000 0.000 0.322

***

No. 10
The following is a DFT calculation (PBE) of KGe2Au2 after structural relaxation.

Computed properties:
E above lowest polymorph: 0.000 eV/atom
ΔE_f: -4.22 kcal/mol of atoms
space group: I4/mmm (139)

a = 4.639 Å, b = 4.639 Å, c = 6.268 Å
α = 68.28°, β = 68.28°, γ = 90.00°
Element x y z (fractional)
Au 0.750 0.250 0.500
Au 0.250 0.750 0.500
Ge 0.628 0.628 0.744
Ge 0.372 0.372 0.256
K 0.000 0.000 0.000

***

No. 11
The following is a DFT calculation (PBE) of Rb2HgICl6 after structural relaxation.

Computed properties:
ΔE_f (raw): -915.6 meV per atom
space group: I4/mmm (139)

a = 7.783 Å, b = 7.783 Å, c = 8.045 Å
α = 61.07°, β = 61.07°, γ = 90.00°
Element x y z (fractional)
Hg 0.000 0.000 0.000
Cl 0.746 0.254 0.000
Cl 0.788 0.788 0.424
Cl 0.746 0.746 0.000
Cl 0.254 0.746 0.000
Cl 0.212 0.212 0.576
Cl 0.254 0.254 0.000
I 0.500 0.500 0.000
Rb 0.250 0.750 0.500
Rb 0.750 0.250 0.500

***

No. 12
The following is a DFT calculation (PBE) of LiZr2In3 after structural relaxation.

Computed properties:
ΔE_f: -7.14 kcal/mol of atoms
space group: P4/mmm (123)

a = 3.240 Å, b = 3.240 Å, c = 11.986 Å
α = 90.00°, β = 90.00°, γ = 90.00°
Element x y z (fractional)
In 0.000 0.000 0.356
In 0.000 0.000 0.644
In 0.000 0.000 0.000
Zr 0.500 0.500 0.178
Zr 0.500 0.500 0.822
Li 0.500 0.500 0.500